(1)
Li3SmNi3, relaxed, DFT PBE-GGA; calculated total energy = -3.49 eV per atom; DOS(E_F) = 9.33 states/eV/cell; energy of formation from the pure elements = 0.4858 eV/atom; space group = Pm-3n, No. 223; calculated density = 4.98 g cm⁻³
1.0
6.141 0.000 0.000
0.000 6.141 0.000
0.000 0.000 6.141
Li Sm Ni
6 2 6
direct
0.000 0.250 0.500 Li
0.000 0.750 0.500 Li
0.250 0.500 0.000 Li
0.500 0.000 0.250 Li
0.500 0.000 0.750 Li
0.750 0.500 0.000 Li
0.000 0.000 0.000 Sm
0.500 0.500 0.500 Sm
0.000 0.500 0.250 Ni
0.000 0.500 0.750 Ni
0.250 0.000 0.500 Ni
0.500 0.250 0.000 Ni
0.500 0.750 0.000 Ni
0.750 0.000 0.500 Ni


(2)
Li2Sm3Ni7, relaxed, DFT PBE-GGA; calculated total energy = -5.14 eV per atom; DOS(E_F) = 7.21 states/eV/cell; energy of formation from the pure elements = -0.2736 eV/atom; space group = R-3m, No. 166; calculated density = 7.94 g cm⁻³
1.0
2.550 1.472 8.135
-2.550 1.472 8.135
0.000 -2.944 8.135
Li Sm Ni
2 3 7
direct
0.166 0.166 0.166 Li
0.834 0.834 0.834 Li
0.361 0.361 0.361 Sm
0.500 0.500 0.500 Sm
0.639 0.639 0.639 Sm
0.000 0.000 0.000 Ni
0.084 0.084 0.582 Ni
0.084 0.582 0.084 Ni
0.418 0.916 0.916 Ni
0.582 0.084 0.084 Ni
0.916 0.418 0.916 Ni
0.916 0.916 0.418 Ni